Here is a relaxed structure of KBa2SO from Alexandria. Energies are from PBE-GGA.

```
5
Lattice="6.1680 0.0000 0.0000 0.0000 6.1680 0.0000 0.0000 0.0000 5.0478" Properties=species:S:1:pos:R:3 pbc="T T T"
K 0.0000 0.0000 0.0000
Ba 0.0000 3.0840 0.0000
Ba 3.0840 0.0000 0.0000
S 0.0000 0.0000 2.5239
O 3.0840 3.0840 2.5239
```

Calculated values
As for the formation energy (no corrections): 0.69 eV/f.u. Its final energy is -2.667 eV per atom. Its space-group type is P4/mmm, No. 123.

---

Here is a relaxed structure of TmThMg2 from Alexandria. Energies are from PBE-GGA.

```
4
Lattice="0.0000 3.7908 3.7908 3.7908 0.0000 3.7908 3.7908 3.7908 0.0000" Properties=species:S:1:pos:R:3 pbc="T T T"
Tm 0.0000 0.0000 0.0000
Th 3.7908 3.7908 3.7908
Mg 1.8954 1.8954 1.8954
Mg 5.6861 5.6861 5.6861
```

Calculated values
Its formation energy is 0.007 eV per atom. Its final energy is -3.763 eV per atom. Its space-group type is Fm-3m, No. 225.

---

Here is a relaxed structure of CrTeRh2 from Alexandria. Energies are from PBE-GGA.

```
4
Lattice="-1.9656 1.9787 4.0973 1.9656 -1.9787 4.0973 1.9656 1.9787 -4.0973" Properties=species:S:1:pos:R:3 pbc="T T T"
Cr 0.0000 0.0000 0.0000
Te 0.0000 1.9787 2.0525
Rh 1.9656 0.0000 2.0615
Rh 0.0000 0.0000 4.1163
```

Calculated values
As for the formation energy (no corrections): 0.15 eV/f.u. Its final energy is -6.829 eV per atom. Its space-group type is Imm2, No. 44.